Entry 1:
AcLaSiRh | GGA-PBE | optimized geometry

The calculated volume is 25.896 Å³ per atom. The calculation puts the calculated total energy at -5.911 eV per atom. The value obtained for the formation energy (no corrections) is -458.1 meV/atom. The value obtained for the total magnetization is 0.001 Bohr magnetons per cell. The value obtained for the density of states at the Fermi level is 3.78 states/eV/f.u. As for the energy above the most stable polymorph in this dataset: 0.256 eV per atom.

The structure belongs to space group F-43m (No. 216); the cell edges are 7.455, 7.455 and 7.455 Å and the angles 90.00°, 90.00° and 90.00°. The asymmetric unit holds Ac at (0.000, 0.000, 0.000), La at (0.000, 0.000, 0.500), Si at (0.250, 0.250, 0.250) and Rh at (0.250, 0.250, 0.750).

***

Entry 2:
K2U3PbS8 | GGA-PBE | optimized geometry

The calculated volume is 31.292 Å³ per atom. The calculation puts the calculated total energy at -6.443 eV per atom. The value obtained for the formation energy (no corrections) is -1243.8 meV/atom. The value obtained for the total magnetization is 18.000 Bohr magnetons per cell. The value obtained for the density of states at the Fermi level is 13.77 states/eV/f.u.

The structure belongs to space group R3m (No. 160, hexagonal axes); the cell edges are 8.1481, 8.1481 and 22.8583 Å and the angles 90.00°, 90.00° and 120.00°. The asymmetric unit holds K at (0.0000, 0.0000, 0.0000), K at (0.0000, 0.0000, 0.3651), U at (0.1682, 0.3365, 0.8312), Pb at (0.0000, 0.0000, 0.6141), S at (0.0000, 0.0000, 0.2277), S at (0.0000, 0.0000, 0.7708), S at (0.0308, 0.5154, 0.7701) and S at (0.1760, 0.3520, 0.5633).

***

Entry 3:
Ta2SbIr | GGA-PBE | optimized geometry

The calculated volume is 17.869 Å³ per atom. The calculation puts the calculated total energy at -9.223 eV per atom. The value obtained for the formation energy (no corrections) is -51.1 meV/atom. The value obtained for the total magnetization is 0.000 Bohr magnetons per cell. The value obtained for the density of states at the Fermi level is 3.17 states/eV/f.u.

The structure belongs to space group Imm2 (No. 44); the cell edges are 3.621, 4.419 and 8.934 Å and the angles 90.00°, 90.00° and 90.00°. The asymmetric unit holds Ta at (0.000, 0.000, 0.000), Ta at (0.000, 0.500, 0.240), Sb at (0.000, 0.500, 0.762) and Ir at (0.000, 0.000, 0.495).

***

Entry 4:
K2BaTiO4 | GGA-PBE | optimized geometry

The calculated volume is 19.467 Å³ per atom. The calculation puts the calculated total energy at -6.361 eV per atom. The value obtained for the formation energy (no corrections) is -2380.3 meV/atom. The value obtained for the total magnetization is 0.000 Bohr magnetons per cell. The value obtained for the density of states at the Fermi level is 0.00 states/eV/f.u.

The structure belongs to space group I-42m (No. 121); the cell edges are 6.723, 6.723 and 6.892 Å and the angles 90.00°, 90.00° and 90.00°. The asymmetric unit holds K at (0.000, 0.500, 0.250), Ba at (0.000, 0.000, 0.000), Ti at (0.000, 0.000, 0.500) and O at (0.154, 0.154, 0.663).

***

Entry 5:
Pm7HoSn4 | GGA-PBE | optimized geometry

The calculated volume is 31.395 Å³ per atom. The calculation puts the calculated total energy at -4.784 eV per atom. The value obtained for the total magnetization is 0.000 Bohr magnetons per cell. The value obtained for the density of states at the Fermi level is 10.71 states/eV/f.u. For the formation energy, the calculation gives -0.297 eV per atom.

The structure belongs to space group C2/m (No. 12); the cell edges are 14.203, 5.844 and 11.073 Å and the angles 90.00°, 124.93° and 90.00°. The asymmetric unit holds Pm at (0.000, 0.000, 0.000), Pm at (0.059, 0.500, 0.372), Pm at (0.189, 0.000, 0.617), Pm at (0.209, 0.500, 0.888), Ho at (0.000, 0.500, 0.000), Sn at (0.063, 0.000, 0.764) and Sn at (0.197, 0.000, 0.328).

***

Entry 6:
CaZr2Cu | GGA-PBE | optimized geometry

The calculated volume is 22.596 Å³ per atom. The calculation puts the calculated total energy at -5.469 eV per atom. The value obtained for the total magnetization is 0.000 Bohr magnetons per cell. The value obtained for the density of states at the Fermi level is 4.57 states/eV/f.u. As for the energy above the most stable polymorph in this dataset: 0.318 eV per atom. For the formation energy, the calculation gives 0.330 eV per atom.

The structure belongs to space group I4/mmm (No. 139); the cell edges are 4.177, 4.177 and 10.359 Å and the angles 90.00°, 90.00° and 90.00°. The asymmetric unit holds Ca at (0.000, 0.000, 0.000), Zr at (0.000, 0.500, 0.250) and Cu at (0.000, 0.000, 0.500).